# V2HgAu2 PBE relaxed
data_V2HgAu2
_chemical_formula_sum 'V4 Hg2 Au4'
_cell_length_a 3.9733
_cell_length_b 3.9733
_cell_length_c 11.5939
_cell_angle_alpha 90.00
_cell_angle_beta 90.00
_cell_angle_gamma 90.00
_space_group_name_H-M_alt 'I 4/m m m'
_space_group_IT_number 139
_space_group_name_Hall '-I 4 2'
loop_
_atom_site_label
_atom_site_type_symbol
_atom_site_fract_x
_atom_site_fract_y
_atom_site_fract_z
V1 V 0.0000 0.0000 0.0814
Hg1 Hg 0.0000 0.0000 0.5000
Au1 Au 0.0000 0.5000 0.2500
# Excess energy over the best structure of this formula in the dataset in kJ/mol of formula units: 26



# BeZnTeI2 PBE relaxed
data_BeZnTeI2
_chemical_formula_sum 'Be1 Zn1 Te1 I2'
_cell_length_a 5.5188
_cell_length_b 5.5188
_cell_length_c 5.4299
_cell_angle_alpha 90.00
_cell_angle_beta 90.00
_cell_angle_gamma 90.00
_space_group_name_H-M_alt 'P 4/m m m'
_space_group_IT_number 123
_space_group_name_Hall '-P 4 2'
loop_
_atom_site_label
_atom_site_type_symbol
_atom_site_fract_x
_atom_site_fract_y
_atom_site_fract_z
Be1 Be 0.0000 0.0000 0.0000
Zn1 Zn 0.5000 0.5000 0.5000
Te1 Te 0.5000 0.5000 0.0000
I1 I 0.0000 0.5000 0.5000
# Excess energy over the best structure of this formula in the dataset in kJ/mol of formula units: 183
# Formation energy (no corrections) in eV per atom: 0.698



# Cs6AgAu2 PBE relaxed
data_Cs6AgAu2
_chemical_formula_sum 'Cs12 Ag2 Au4'
_cell_length_a 23.1205
_cell_length_b 5.2865
_cell_length_c 10.6203
_cell_angle_alpha 90.00
_cell_angle_beta 103.22
_cell_angle_gamma 90.00
_space_group_name_H-M_alt 'C 1 2/m 1'
_space_group_IT_number 12
loop_
_space_group_symop_operation_xyz
'x,y,z'
'-x,-y,-z'
'-x,y,-z'
'x,-y,z'
'x+1/2,y+1/2,z'
'-x+1/2,-y+1/2,-z'
'-x+1/2,y+1/2,-z'
'x+1/2,-y+1/2,z'
loop_
_atom_site_label
_atom_site_type_symbol
_atom_site_fract_x
_atom_site_fract_y
_atom_site_fract_z
Cs1 Cs 0.0057 0.0000 0.2506
Cs2 Cs 0.1658 0.5000 0.0987
Cs3 Cs 0.1715 0.5000 0.5715
Ag1 Ag 0.0000 0.5000 0.0000
Au1 Au 0.1674 0.0000 0.3352
# Excess energy over the best structure of this formula in the dataset in kJ/mol of formula units: 0



# SiS PBE relaxed
data_SiS
_chemical_formula_sum 'Si8 S8'
_cell_length_a 5.0974
_cell_length_b 6.0312
_cell_length_c 14.2391
_cell_angle_alpha 90.00
_cell_angle_beta 90.00
_cell_angle_gamma 90.00
_space_group_name_H-M_alt 'P 21 21 21'
_space_group_IT_number 19
loop_
_space_group_symop_operation_xyz
'x,y,z'
'-x+1/2,-y,z+1/2'
'x+1/2,-y+1/2,-z'
'-x,y+1/2,-z+1/2'
loop_
_atom_site_label
_atom_site_type_symbol
_atom_site_fract_x
_atom_site_fract_y
_atom_site_fract_z
Si1 Si 0.0604 0.0302 0.4860
Si2 Si 0.2013 0.4753 0.8719
S1 S 0.0820 0.8521 0.0699
S2 S 0.1787 0.8722 0.3578
# Formation energy (no corrections) in eV per atom: -0.126



# AlCdRe2 PBE relaxed
data_AlCdRe2
_chemical_formula_sum 'Al3 Cd3 Re6'
_cell_length_a 2.8140
_cell_length_b 2.8140
_cell_length_c 27.9864
_cell_angle_alpha 90.00
_cell_angle_beta 90.00
_cell_angle_gamma 120.00
_space_group_name_H-M_alt 'R -3 m'
_space_group_IT_number 166
_space_group_name_Hall '-R 3 2"'
loop_
_atom_site_label
_atom_site_type_symbol
_atom_site_fract_x
_atom_site_fract_y
_atom_site_fract_z
Al1 Al 0.0000 0.0000 0.0000
Cd1 Cd 0.0000 0.0000 0.5000
Re1 Re 0.0000 0.0000 0.2562
# Excess energy over the best structure of this formula in the dataset in kJ/mol of formula units: 72



# Na2VFeMo PBE relaxed
data_Na2VFeMo
_chemical_formula_sum 'Na2 V1 Fe1 Mo1'
_cell_length_a 5.2444
_cell_length_b 5.2444
_cell_length_c 3.9774
_cell_angle_alpha 90.00
_cell_angle_beta 90.00
_cell_angle_gamma 90.00
_space_group_name_H-M_alt 'P 4/m m m'
_space_group_IT_number 123
_space_group_name_Hall '-P 4 2'
loop_
_atom_site_label
_atom_site_type_symbol
_atom_site_fract_x
_atom_site_fract_y
_atom_site_fract_z
Na1 Na 0.0000 0.5000 0.0000
V1 V 0.0000 0.0000 0.0000
Fe1 Fe 0.0000 0.0000 0.5000
Mo1 Mo 0.5000 0.5000 0.5000
# Uncorrected energy in eV per atom: -4.3632



What did the sixth record say?
# Na2VFeMo PBE relaxed
data_Na2VFeMo
_chemical_formula_sum 'Na2 V1 Fe1 Mo1'
_cell_length_a 5.2444
_cell_length_b 5.2444
_cell_length_c 3.9774
_cell_angle_alpha 90.00
_cell_angle_beta 90.00
_cell_angle_gamma 90.00
_space_group_name_H-M_alt 'P 4/m m m'
_space_group_IT_number 123
_space_group_name_Hall '-P 4 2'
loop_
_atom_site_label
_atom_site_type_symbol
_atom_site_fract_x
_atom_site_fract_y
_atom_site_fract_z
Na1 Na 0.0000 0.5000 0.0000
V1 V 0.0000 0.0000 0.0000
Fe1 Fe 0.0000 0.0000 0.5000
Mo1 Mo 0.5000 0.5000 0.5000
# Uncorrected energy in eV per atom: -4.3632